[1]
Material: InNCl2
Method: DFT, PBE-GGA
State: relaxed

Summary:
DFT total energy = -12.02 eV/f.u.
Density of states at the Fermi level = 0.000 states/eV/f.u.
ρ = 3.5 g/cm3
Formation energy from raw total energies = 684.9 meV/atom

Unit cell a=6.465 b=6.465 c=6.477 alpha=60.07 beta=60.07 gamma=90.00
Fractional coordinates of all 8 atoms:
1 N 0.500 0.500 0.000
2 Cl 0.375 0.625 0.750
3 Cl 0.375 0.125 0.250
4 Cl 0.375 0.625 0.250
5 N 0.250 0.750 0.500
6 Cl 0.875 0.625 0.750
7 In 0.000 0.000 0.000
8 In 0.750 0.250 0.500

=====

[2]
Material: InP2NCl
Method: DFT, PBE-GGA
State: relaxed

Summary:
DFT total energy = -14.87 eV/f.u.
Density of states at the Fermi level = 2.472 states/eV/f.u.
ρ = 2.1 g/cm3
Formation energy from raw total energies = 1771.9 meV/atom

Unit cell a=5.652 b=5.652 c=5.481 alpha=90.00 beta=90.00 gamma=90.00
Site moments in Bohr magnetons follow the coordinates.
Fractional coordinates of all 5 atoms:
1 P 0.500 0.000 0.000  0.78
2 In 0.000 0.000 0.000  -0.02
3 Cl 0.000 0.000 0.500  0.09
4 P 0.000 0.500 0.000  0.78
5 N 0.500 0.500 0.500  1.93

=====

[3]
Material: InP2NCl
Method: DFT, PBE-GGA
State: relaxed

Summary:
DFT total energy = -20.44 eV/f.u.
Density of states at the Fermi level = 4.641 states/eV/f.u.
ρ = 3.8 g/cm3
Formation energy from raw total energies = 657.5 meV/atom

Unit cell a=3.918 b=3.918 c=6.504 alpha=90.00 beta=90.00 gamma=90.00
Fractional coordinates of all 5 atoms:
1 In 0.500 0.500 0.500
2 N 0.000 0.000 0.000
3 P 0.000 0.500 0.000
4 Cl 0.000 0.000 0.500
5 P 0.500 0.000 0.000